A plane-wave DFT calculation with PBE was carried out for an optimized crystal structure of Nd5Si4.

Cell lengths 7.893, 7.893, 15.129 Å; angles 90.00, 90.00, 90.00 degrees
Element x y z (fractional)
Si  0.805  0.831  0.701
Nd  0.519  0.627  0.626
Si  0.695  0.331  0.549
Nd  0.809  0.191  0.250
Nd  0.481  0.373  0.126
Si  0.288  0.923  0.560
Nd  0.691  0.691  0.000
Nd  0.627  0.519  0.374
Nd  0.019  0.873  0.124
Si  0.788  0.577  0.190
Nd  0.122  0.511  0.302
Si  0.923  0.288  0.440
Nd  0.489  0.878  0.198
Si  0.669  0.305  0.951
Nd  0.989  0.622  0.552
Nd  0.873  0.019  0.876
Si  0.712  0.077  0.060
Nd  0.878  0.489  0.802
Si  0.077  0.712  0.940
Nd  0.378  0.011  0.948
Nd  0.511  0.122  0.698
Nd  0.373  0.481  0.874
Si  0.169  0.195  0.799
Si  0.195  0.169  0.201
Si  0.331  0.695  0.451
Si  0.305  0.669  0.049
Si  0.831  0.805  0.299
Si  0.212  0.423  0.690
Nd  0.981  0.127  0.624
Si  0.577  0.788  0.810
Nd  0.011  0.378  0.052
Nd  0.309  0.309  0.500
Nd  0.622  0.989  0.448
Si  0.423  0.212  0.310
Nd  0.191  0.809  0.750
Nd  0.127  0.981  0.376

Output
- Theoretical density: 5.9 g/cm³
- Formation energy without anion corrections: -0.687 eV/atom